[1]
A plane-wave DFT calculation with PBE-GGA was carried out for crystalline YNb3Te at its relaxed geometry.

## Properties
Raw total energy, eV per atom: -6.09
Space group: Pm-3m (221)
ΔE_f (raw), eV/atom: 1.8717
Total moment, μB/atom: 0.000

abc: 5.0161 5.0161 5.0161
angles: 90.00 90.00 90.00
With the nearest neighbours (Å) after each atom.
Positions (direct):
Y 0.0000 0.0000 0.0000  6 Nb 2.51
Nb 0.0000 0.5000 0.0000  2 Y 2.51
Nb 0.0000 0.0000 0.5000  2 Y 2.51
Nb 0.5000 0.0000 0.0000  2 Y 2.51
Te 0.5000 0.5000 0.5000  12 Nb 3.55

***

[2]
A plane-wave DFT calculation with PBE-GGA was carried out for crystalline Y2Nb2Te at its relaxed geometry.

## Properties
Raw total energy, eV per atom: -6.45
Space group: I4/mmm (139)
ΔE_f (raw), eV/atom: 0.7950
Total moment, μB/atom: 0.000

abc: 4.5047 4.5047 7.3220
angles: 72.08 72.08 90.00
With the nearest neighbours (Å) after each atom.
Positions (direct):
Y 0.7500 0.2500 0.5000  4 Nb 3.12, 4 Y 3.19
Y 0.2500 0.7500 0.5000  4 Nb 3.12, 4 Y 3.19
Nb 0.4139 0.4139 0.1723  1 Nb 2.27
Nb 0.5861 0.5861 0.8277  1 Nb 2.27
Te 0.0000 0.0000 0.0000  8 Nb 3.38

***

[3]
A plane-wave DFT calculation with PBE-GGA was carried out for crystalline YZrNbTe2 at its relaxed geometry.

## Properties
Raw total energy, eV per atom: -5.72
Space group: P4/mmm (123)
ΔE_f (raw), eV/atom: 0.5538
Total moment, μB/atom: 0.372

abc: 5.3660 5.3273 5.3660
angles: 90.00 90.00 90.00
With the nearest neighbours (Å) after each atom.
Positions (direct):
Y 0.0000 0.5000 0.0000  2 Nb 2.66
Nb 0.0000 0.0000 0.0000  2 Y 2.66, 4 Te 2.68
Te 0.0000 0.0000 0.5000  2 Nb 2.68
Te 0.5000 0.0000 0.0000  2 Nb 2.68
Zr 0.5000 0.5000 0.5000  8 Te 3.78, 4 Y 3.79

***

[4]
A plane-wave DFT calculation with PBE-GGA was carried out for crystalline YZr2NbTe at its relaxed geometry.

## Properties
Raw total energy, eV per atom: -5.81
Space group: P4/mmm (123)
ΔE_f (raw), eV/atom: 1.5400
Total moment, μB/atom: 0.011

abc: 5.1268 5.1268 5.3839
angles: 90.00 90.00 90.00
With the nearest neighbours (Å) after each atom.
Positions (direct):
Y 0.0000 0.0000 0.0000  4 Zr 2.56, 2 Te 2.69
Nb 0.5000 0.5000 0.5000  4 Te 3.63, 8 Zr 3.72
Te 0.0000 0.0000 0.5000  2 Y 2.69
Zr 0.0000 0.5000 0.0000  2 Y 2.56
Zr 0.5000 0.0000 0.0000  2 Y 2.56

***

[5]
A plane-wave DFT calculation with PBE-GGA was carried out for crystalline YZrNbTe2 at its relaxed geometry.

## Properties
Raw total energy, eV per atom: -5.96
Space group: P4/mmm (123)
ΔE_f (raw), eV/atom: 0.3107
Total moment, μB/atom: 0.000

abc: 5.5617 4.8565 5.5617
angles: 90.00 90.00 90.00
With the nearest neighbours (Å) after each atom.
Positions (direct):
Y 0.5000 0.5000 0.5000  8 Te 3.69, 4 Nb 3.93
Nb 0.0000 0.5000 0.0000  2 Zr 2.43
Te 0.0000 0.0000 0.5000  2 Zr 2.78
Te 0.5000 0.0000 0.0000  2 Zr 2.78
Zr 0.0000 0.0000 0.0000  2 Nb 2.43

***

[6]
A plane-wave DFT calculation with PBE-GGA was carried out for crystalline NbZnTe2 at its relaxed geometry.

## Properties
Raw total energy, eV per atom: -4.31
Space group: I-42d (122)
ΔE_f (raw), eV/atom: 0.0944
Total moment, μB/atom: 0.735

abc: 6.4758 6.4758 7.5569
angles: 64.63 64.63 90.00
With the nearest neighbours (Å) after each atom.
Positions (direct):
Nb 0.0000 0.0000 0.0000  4 Te 2.80
Nb 0.7500 0.2500 0.5000  4 Te 2.80
Te 0.6105 0.1250 0.2500  2 Zn 2.68, 2 Nb 2.80
Te 0.1395 0.6250 0.2500  2 Zn 2.68, 2 Nb 2.80
Te 0.3750 0.3895 0.7500  2 Zn 2.68, 2 Nb 2.80
Te 0.8750 0.8605 0.7500  2 Zn 2.68, 2 Nb 2.80
Zn 0.5000 0.5000 0.0000  4 Te 2.68
Zn 0.2500 0.7500 0.5000  4 Te 2.68